Li2TlPb | PBE | relaxed

Lattice parameters (Å, degrees): 9.5326 9.5326 9.5326 20.52 20.52 20.52
Closest atoms and distances in Å follow each position.
Sites, in units of the cell vectors:
1 Li 0.2493 0.2493 0.2493  3 Tl 3.03, 3 Pb 3.06, 6 Li 3.40
2 Li 0.7507 0.7507 0.7507  3 Tl 3.03, 3 Pb 3.06, 6 Li 3.40
3 Tl 0.5000 0.5000 0.5000  6 Li 3.03, 6 Tl 3.40
4 Pb 0.0000 0.0000 0.0000  6 Li 3.06, 6 Pb 3.40

Calculated values
Energy of formation from the pure elements   -0.180 eV per atom
Polymorph energy (0 for the lowest one)   6.7 kJ/mol of atoms